Here is crystalline ReGeBr2 at its relaxed geometry from Alexandria via LeMat-Bulk. Energies are from PBE.

a = 10.0814 Å, b = 10.0814 Å, c = 10.0814 Å
α = 17.83°, β = 17.83°, γ = 17.83°
Last column: nearest neighbours and their distance in Å.
Fractional positions:
1 Re 0.0000 0.0000 0.0000  2 Br 2.40
2 Ge 0.5000 0.5000 0.5000  6 Ge 3.12, 6 Br 3.13
3 Br 0.0805 0.0805 0.0805  1 Re 2.40
4 Br 0.9195 0.9195 0.9195  1 Re 2.40

Properties
Magnetic moment: 0.0 μB/cell
V: 83.87 Å³ per cell
Relative energy among the computed polymorphs: 247 meV per atom
Formation energy without anion corrections: 0.6950 eV per atom

=====

Here is crystalline Y3Pt at its relaxed geometry from Alexandria via LeMat-Bulk. Energies are from PBE.

a = 6.9102 Å, b = 6.9102 Å, c = 4.9383 Å
α = 90.00°, β = 90.00°, γ = 120.00°
Last column: nearest neighbours and their distance in Å.
Fractional positions:
1 Y 0.1797 0.3593 0.2500  2 Pt 3.08, 6 Y 3.19-3.27
2 Y 0.1797 0.8203 0.2500  2 Pt 3.08, 6 Y 3.19-3.27
3 Y 0.3593 0.1797 0.7500  2 Pt 3.08, 6 Y 3.19-3.27
4 Y 0.6407 0.8203 0.2500  2 Pt 3.08, 6 Y 3.19-3.27
5 Y 0.8203 0.1797 0.7500  2 Pt 3.08, 6 Y 3.19-3.27
6 Y 0.8203 0.6407 0.7500  2 Pt 3.08, 6 Y 3.19-3.27
7 Pt 0.3333 0.6667 0.7500  6 Y 3.08
8 Pt 0.6667 0.3333 0.2500  6 Y 3.08

Properties
Calculated formation energy: -0.4410 eV per atom
Magnetic moment: 0.0 μB/cell
V: 204.22 Å³ per cell